No. 1
Entry from OQMD: a relaxed Zr2ZnW crystal (PBE-GGA).

Values from the calculation:
Mass density = 9.712 Mg/m³
DFT formation energy = 0.249 eV per atom
Space-group type = F-43m, No. 216
Calculated volume = 73.81 Å³ per cell
Total energy = -7.580 eV per atom

a b c (Å): 4.7085 4.7085 4.7085
angles (deg): 60.00 60.00 60.00
Closest atoms and distances in Å follow each position.
Atoms (fractional coordinates):
Zn: 0.5000 0.5000 0.5000  4 W 2.88, 4 Zr 2.88
W: 0.2500 0.2500 0.2500  4 Zn 2.88, 4 Zr 2.88
Zr: 0.7500 0.7500 0.7500  4 Zn 2.88, 4 Zr 2.88
Zr: 0.0000 0.0000 0.0000  4 W 2.88, 4 Zr 2.88



No. 2
Entry from OQMD: a relaxed CsPrCdS3 crystal (PBE-GGA).

Values from the calculation:
Mass density = 4.379 Mg/m³
Space-group type = Pnma, No. 62
Calculated volume = 731.74 Å³ per cell
Total energy = -4.566 eV per atom
Energy above the lowest structure with this stoichiometry = 3 meV per atom

a b c (Å): 11.1392 4.2914 15.3076
angles (deg): 90.00 90.00 90.00
Closest atoms and distances in Å follow each position.
Atoms (fractional coordinates):
S: 0.5450 0.2500 0.3682  1 Cd 2.50
S: 0.4393 0.2500 0.1272  1 Cd 2.51
S: 0.7450 0.7500 0.1932  2 Cd 2.62, 2 Pr 2.91-2.92
S: 0.2550 0.2500 0.8068  2 Cd 2.62, 2 Pr 2.91-2.92
S: 0.9393 0.2500 0.3728  1 Cd 2.51
S: 0.0607 0.7500 0.6272  1 Cd 2.51
S: 0.9550 0.7500 0.8682  1 Cd 2.50
S: 0.5607 0.7500 0.8728  1 Cd 2.51
S: 0.7550 0.2500 0.6932  2 Cd 2.62, 2 Pr 2.91-2.92
S: 0.0449 0.2500 0.1318  1 Cd 2.50
S: 0.2450 0.7500 0.3068  2 Cd 2.62, 2 Pr 2.91-2.92
S: 0.4550 0.7500 0.6318  1 Cd 2.50
Cd: 0.7437 0.2500 0.2917  4 S 2.50-2.62
Cd: 0.2563 0.7500 0.7083  4 S 2.50-2.62
Cd: 0.7563 0.7500 0.7917  4 S 2.50-2.62
Cd: 0.2437 0.2500 0.2083  4 S 2.50-2.62
Cs: 0.2580 0.2500 0.4892  7 S 3.52-3.77
Cs: 0.2420 0.7500 0.9892  7 S 3.52-3.77
Cs: 0.7420 0.7500 0.5108  7 S 3.52-3.77
Cs: 0.7580 0.2500 0.0108  7 S 3.52-3.77
Pr: 0.9942 0.7500 0.2532  6 S 2.89-2.92
Pr: 0.5058 0.2500 0.7532  6 S 2.89-2.92
Pr: 0.0058 0.2500 0.7468  6 S 2.89-2.92
Pr: 0.4942 0.7500 0.2468  6 S 2.89-2.92



No. 3
Entry from OQMD: a relaxed NaTmSn crystal (PBE-GGA).

Values from the calculation:
Mass density = 6.275 Mg/m³
Space-group type = F-43m, No. 216
Calculated volume = 82.20 Å³ per cell
Total energy = -3.185 eV per atom
Energy above the lowest structure with this stoichiometry = 42 meV per atom

a b c (Å): 4.8805 4.8805 4.8805
angles (deg): 60.00 60.00 60.00
Closest atoms and distances in Å follow each position.
Atoms (fractional coordinates):
Na: 0.0000 0.0000 0.0000  4 Sn 2.99, 4 Tm 2.99
Sn: 0.2500 0.2500 0.2500  4 Na 2.99
Tm: 0.7500 0.7500 0.7500  4 Na 2.99